No. 1
{"formula": "Tb6Te3Pt2Pb", "functional": "GGA-PBE", "state": "relaxed", "sg": "C2/m", "formation_energy_uncorrected_ev_per_atom": -1.15, "volume_a3_per_cell": 344, "e_tot_ev_per_cell": -66.740, "mass_density_g_cm3": 9.34, "lattice": [[9.6023, -2.1045, 0.0000], [9.6023, 2.1045, 0.0000], [-2.6038, 0.0000, 8.5038]], "species": ["Tb", "Tb", "Tb", "Tb", "Tb", "Tb", "Te", "Te", "Te", "Pt", "Pt", "Pb"], "frac_coords": [[0.0109, 0.0109, 0.2580], [0.3229, 0.3229, 0.4355], [0.3296, 0.3296, 0.8827], [0.6704, 0.6704, 0.1173], [0.6772, 0.6772, 0.5645], [0.9891, 0.9891, 0.7420], [0.1615, 0.1615, 0.8374], [0.5000, 0.5000, 0.5000], [0.8385, 0.8385, 0.1626], [0.1684, 0.1684, 0.3384], [0.8316, 0.8316, 0.6616], [0.5000, 0.5000, 0.0000]]}

***

No. 2
{"formula": "Hf2TaAg", "functional": "GGA-PBE", "state": "relaxed", "sg": "R-3m", "volume_a3_per_cell": 82, "de_polymorph_ev_per_atom": 0.415, "e_tot_ev_per_cell": -32.926, "ef_ev_per_atom": 0.4212, "mass_density_g_cm3": 13.04, "lattice": [[1.4844, 0.8570, 10.7722], [-1.4844, 0.8570, 10.7722], [0.0000, -1.7141, 10.7722]], "species": ["Hf", "Hf", "Ta", "Ag"], "frac_coords": [[0.0876, 0.0876, 0.0876], [0.9124, 0.9124, 0.9124], [0.0000, 0.0000, 0.0000], [0.5000, 0.5000, 0.5000]]}

***

No. 3
{"formula": "NpGe2IrOs", "functional": "GGA-PBE", "state": "relaxed", "sg": "I-4m2", "volume_a3_per_cell": 90, "e_tot_ev_per_cell": -43.511, "ef_ev_per_atom": -0.2490, "mass_density_g_cm3": 14.09, "lattice": [[-2.1006, 2.1006, 5.1061], [2.1006, -2.1006, 5.1061], [2.1006, 2.1006, -5.1061]], "species": ["Np", "Ge", "Ge", "Ir", "Os"], "frac_coords": [[0.0000, 0.0000, 0.0000], [0.3769, 0.3769, 0.0000], [0.6231, 0.6231, 0.0000], [0.2500, 0.7500, 0.5000], [0.7500, 0.2500, 0.5000]]}

***

No. 4
{"formula": "TcGeS2N", "functional": "GGA-PBE", "state": "relaxed", "sg": "P4/mmm", "formation_energy_uncorrected_ev_per_atom": 0.28, "volume_a3_per_cell": 87, "de_polymorph_ev_per_atom": 0.000, "e_tot_ev_per_cell": -30.178, "mass_density_g_cm3": 4.75, "lattice": [[4.8391, 0.0000, 0.0000], [0.0000, 4.8391, 0.0000], [0.0000, 0.0000, 3.7108]], "species": ["Tc", "Ge", "S", "S", "N"], "frac_coords": [[0.0000, 0.0000, 0.0000], [0.5000, 0.5000, 0.5000], [0.0000, 0.5000, 0.0000], [0.5000, 0.0000, 0.0000], [0.0000, 0.0000, 0.5000]]}

***

No. 5
{"formula": "Ca2ZnMoCl", "functional": "GGA-PBE", "state": "relaxed", "sg": "P4/mmm", "formation_energy_uncorrected_ev_per_atom": 0.15, "volume_a3_per_cell": 124, "e_tot_ev_per_cell": -17.230, "mass_density_g_cm3": 3.72, "lattice": [[5.2547, 0.0000, 0.0000], [0.0000, 5.2547, 0.0000], [0.0000, 0.0000, 4.4768]], "species": ["Ca", "Ca", "Zn", "Mo", "Cl"], "frac_coords": [[0.0000, 0.5000, 0.0000], [0.5000, 0.0000, 0.0000], [0.0000, 0.0000, 0.5000], [0.5000, 0.5000, 0.5000], [0.5000, 0.5000, 0.0000]]}

***

No. 6
{"formula": "La2Nd3Cd2", "functional": "GGA-PBE", "state": "relaxed", "sg": "C2/m", "volume_a3_per_cell": 226, "de_polymorph_ev_per_atom": 0.000, "e_tot_ev_per_cell": -27.028, "ef_ev_per_atom": -0.1485, "mass_density_g_cm3": 6.87, "lattice": [[5.9494, -2.7277, 0.0000], [5.9494, 2.7277, 0.0000], [-0.1835, 0.0000, 6.9661]], "species": ["La", "La", "Nd", "Nd", "Nd", "Cd", "Cd"], "frac_coords": [[0.1030, 0.1030, 0.3204], [0.8970, 0.8970, 0.6796], [0.2049, 0.2049, 0.8302], [0.5000, 0.5000, 0.0000], [0.7951, 0.7951, 0.1698], [0.3828, 0.3828, 0.4171], [0.6172, 0.6172, 0.5829]]}